Entry 1:
# Ag2SbPb, optimized geometry, DFT PBE-GGA
data_Ag2SbPb
_chemical_formula_sum 'Ag2 Sb1 Pb1'
_cell_length_a 4.3132
_cell_length_b 4.6817
_cell_length_c 4.6817
_cell_angle_alpha 90.00
_cell_angle_beta 90.00
_cell_angle_gamma 90.00
_symmetry_space_group_name_H-M 'P 1'
_symmetry_Int_Tables_number 1
loop_
_symmetry_equiv_pos_as_xyz
'x,y,z'
loop_
_atom_site_label
_atom_site_type_symbol
_atom_site_fract_x
_atom_site_fract_y
_atom_site_fract_z
_atom_site_occupancy
Ag1 Ag 0.0000 0.0000 0.5000 1
Ag2 Ag 0.0000 0.5000 0.0000 1
Pb1 Pb 0.5000 0.0000 0.0000 1
Sb1 Sb 0.5000 0.5000 0.5000 1
# - raw formation energy (meV per atom) = 108

=====

Entry 2:
# Dy4Al2ZnAg, optimized geometry, DFT PBE-GGA
data_Dy4Al2ZnAg
_chemical_formula_sum 'Dy4 Al2 Zn1 Ag1'
_cell_length_a 5.1145
_cell_length_b 5.1145
_cell_length_c 8.8652
_cell_angle_alpha 73.23
_cell_angle_beta 73.23
_cell_angle_gamma 60.00
_symmetry_space_group_name_H-M 'P 1'
_symmetry_Int_Tables_number 1
loop_
_symmetry_equiv_pos_as_xyz
'x,y,z'
loop_
_atom_site_label
_atom_site_type_symbol
_atom_site_fract_x
_atom_site_fract_y
_atom_site_fract_z
_atom_site_occupancy
Al1 Al 0.7502 0.7502 0.7495 1
Dy1 Dy 0.8765 0.8765 0.3705 1
Ag1 Ag 0.5000 0.5000 0.5000 1
Dy2 Dy 0.3736 0.3736 0.8792 1
Zn1 Zn 0.0000 0.0000 0.0000 1
Dy3 Dy 0.6264 0.6264 0.1208 1
Dy4 Dy 0.1235 0.1235 0.6295 1
Al2 Al 0.2498 0.2498 0.2505 1
# - formation energy (eV per atom) = -0.36

=====

Entry 3:
# BeBiNO2, optimized geometry, DFT PBE-GGA
data_BeBiNO2
_chemical_formula_sum 'Be1 Bi1 N1 O2'
_cell_length_a 3.8404
_cell_length_b 3.8404
_cell_length_c 3.5001
_cell_angle_alpha 90.00
_cell_angle_beta 90.00
_cell_angle_gamma 90.00
_symmetry_space_group_name_H-M 'P 1'
_symmetry_Int_Tables_number 1
loop_
_symmetry_equiv_pos_as_xyz
'x,y,z'
loop_
_atom_site_label
_atom_site_type_symbol
_atom_site_fract_x
_atom_site_fract_y
_atom_site_fract_z
_atom_site_occupancy
Bi1 Bi 0.5000 0.5000 0.5000 1
O1 O 0.0000 0.5000 0.0000 1
O2 O 0.5000 0.0000 0.0000 1
N1 N 0.0000 0.0000 0.5000 1
Be1 Be 0.0000 0.0000 0.0000 1
# - raw formation energy (meV per atom) = -359

=====

Entry 4:
# MnSiOsRh2, optimized geometry, DFT PBE-GGA
data_MnSiOsRh2
_chemical_formula_sum 'Mn1 Si1 Os1 Rh2'
_cell_length_a 4.2874
_cell_length_b 4.1671
_cell_length_c 4.2874
_cell_angle_alpha 90.00
_cell_angle_beta 90.00
_cell_angle_gamma 90.00
_symmetry_space_group_name_H-M 'P 1'
_symmetry_Int_Tables_number 1
loop_
_symmetry_equiv_pos_as_xyz
'x,y,z'
loop_
_atom_site_label
_atom_site_type_symbol
_atom_site_fract_x
_atom_site_fract_y
_atom_site_fract_z
_atom_site_occupancy
Rh1 Rh 0.5000 0.0000 0.0000 1
Si1 Si 0.0000 0.0000 0.0000 1
Os1 Os 0.5000 0.5000 0.5000 1
Rh2 Rh 0.0000 0.0000 0.5000 1
Mn1 Mn 0.0000 0.5000 0.0000 1
# - raw formation energy (meV per atom) = 1004

=====

Entry 5:
# Rb2SbAsCl6, optimized geometry, DFT PBE-GGA
data_Rb2SbAsCl6
_chemical_formula_sum 'Rb2 Sb1 As1 Cl6'
_cell_length_a 7.5909
_cell_length_b 7.5909
_cell_length_c 7.6375
_cell_angle_alpha 60.20
_cell_angle_beta 60.20
_cell_angle_gamma 90.00
_symmetry_space_group_name_H-M 'P 1'
_symmetry_Int_Tables_number 1
loop_
_symmetry_equiv_pos_as_xyz
'x,y,z'
loop_
_atom_site_label
_atom_site_type_symbol
_atom_site_fract_x
_atom_site_fract_y
_atom_site_fract_z
_atom_site_occupancy
Cl1 Cl 0.7471 0.7471 0.5058 1
Rb1 Rb 0.2500 0.7500 0.5000 1
As1 As 0.5000 0.5000 0.0000 1
Cl2 Cl 0.2529 0.2529 0.4942 1
Rb2 Rb 0.7500 0.2500 0.5000 1
Cl3 Cl 0.2548 0.2548 0.0000 1
Sb1 Sb 0.0000 0.0000 0.0000 1
Cl4 Cl 0.2548 0.7452 0.0000 1
Cl5 Cl 0.7452 0.2548 0.0000 1
Cl6 Cl 0.7452 0.7452 0.0000 1
# - raw formation energy (meV per atom) = -1046

=====

Entry 6:
# CsFe2Cl7, optimized geometry, DFT PBE-GGA
data_CsFe2Cl7
_chemical_formula_sum 'Cs1 Fe2 Cl7'
_cell_length_a 4.9249
_cell_length_b 9.1822
_cell_length_c 9.1822
_cell_angle_alpha 102.59
_cell_angle_beta 90.00
_cell_angle_gamma 90.00
_symmetry_space_group_name_H-M 'P 1'
_symmetry_Int_Tables_number 1
loop_
_symmetry_equiv_pos_as_xyz
'x,y,z'
loop_
_atom_site_label
_atom_site_type_symbol
_atom_site_fract_x
_atom_site_fract_y
_atom_site_fract_z
_atom_site_occupancy
Cs1 Cs 0.0000 0.0000 0.0000 1
Cl1 Cl 0.5000 0.9422 0.6911 1
Cl2 Cl 0.0000 0.6840 0.6840 1
Cl3 Cl 0.5000 0.0578 0.3089 1
Cl4 Cl 0.5000 0.3089 0.0578 1
Fe1 Fe 0.5000 0.7057 0.7057 1
Cl5 Cl 0.5000 0.5000 0.5000 1
Cl6 Cl 0.0000 0.3160 0.3160 1
Cl7 Cl 0.5000 0.6911 0.9422 1
Fe2 Fe 0.5000 0.2943 0.2943 1
# - raw formation energy (meV per atom) = -931
# - energy above the most stable polymorph in this dataset (meV/atom) = 0

=====

no.,E_tot (eV/atom),total magnetic moment (μB per atom)
1,-3.275,0.000
2,-4.111,0.000
3,-5.528,0.387
4,-7.101,0.000
5,-3.225,0.000
6,-4.001,0.988